1 | The following is a DFT calculation (PBE) of an optimized crystal structure of TbPr4Tm6.

Geometry as extended XYZ:
```
11
Lattice="7.4687 -2.8822 -5.4545 -5.1520 7.9924 1.8491 -1.8579 2.8822 9.0599" Properties=species:S:1:pos:R:3 pbc="T T T"
Tm 1.1584 2.5551 -1.8027
Pr -3.2939 5.1100 1.3036
Tm -1.2377 5.0115 4.1171
Pr 0.2759 2.8824 1.9167
Tm 3.4154 0.3144 -1.3375
Pr -1.2526 1.9432 5.7720
Tm -4.9494 7.6780 5.5115
Pr -2.2803 8.9313 7.3713
Tm 2.8054 0.0000 1.8027
Tm -3.7794 5.8630 8.0725
Tb 0.0000 0.0000 0.0000
```

Properties
* N(E_F): 1.24 states/eV/atom
* calculated density: 7.7 Mg/m³
* space group: No. 121

2 | The following is a DFT calculation (PBE) of an optimized crystal structure of TbPr4Tm6.

Geometry as extended XYZ:
```
11
Lattice="-6.3532 -2.6927 3.4526 3.1731 -7.0239 0.3610 4.1465 6.3132 3.9319" Properties=species:S:1:pos:R:3 pbc="T T T"
Tm -2.9954 -3.2754 4.7679
Pr -2.2208 -7.7705 4.0433
Tb -1.5901 -4.8583 1.9068
Tm 0.8575 -1.4436 4.6647
Pr 5.2365 -0.1692 3.9354
Tm 1.5865 -3.5120 0.1805
Tm -3.1766 -1.3463 1.7263
Pr -0.9161 2.6281 5.9322
Pr -0.1669 -1.4951 1.5802
Tm 2.4114 3.3040 2.8013
Tm 1.6592 -5.3917 3.2572
```

Properties
* N(E_F): 1.26 states/eV/atom
* calculated density: 7.4 Mg/m³
* space group: No. 121

Bottom line: 1, by a margin of 17.3 kJ/mol of atoms.

1 | The following is a DFT calculation (PBE) of an optimized crystal structure of Tb12Pr7Tm.

Geometry as extended XYZ:
```
20
Lattice="-0.6046 3.1719 -9.3336 0.0804 -9.8752 0.1223 -7.7861 3.2924 5.1068" Properties=species:S:1:pos:R:3 pbc="T T T"
Pr -3.8529 -3.2914 2.6145
Tb -6.4643 3.2414 -5.4453
Tb -6.0292 3.2614 1.5719
Tb -6.1274 -3.3539 -0.8159
Tb -2.2811 -6.6724 -5.6764
Pr 0.0402 -4.9376 0.0612
Tm 0.0000 0.0000 0.0000
Tb -0.4387 -0.0215 -7.0190
Tb -3.9397 -0.0304 0.2464
Tb -6.2967 -0.1590 -3.1282
Pr -0.3023 1.5860 -4.6668
Tb -1.8460 -6.6524 1.3409
Pr -4.1953 3.2322 -2.1134
Tb -7.8716 -3.3894 2.9146
Tb -2.1828 -0.0571 -3.2885
Pr -0.2621 -3.3517 -4.6056
Tb -4.3706 -3.3805 -4.3508
Pr -4.1551 -1.7055 -2.0522
Tb -2.0136 -3.2519 -0.9762
Pr -3.8930 1.6462 2.5534
```

Properties
* N(E_F): 1.40 states/eV/atom
* calculated density: 6.9 Mg/m³
* space group: No. 229

2 | The following is a DFT calculation (PBE) of an optimized crystal structure of Tb12Pr7Tm.

Geometry as extended XYZ:
```
20
Lattice="-1.8364 8.2726 2.5344 -6.2421 -2.5043 5.7442 5.5649 -0.2285 6.8710" Properties=species:S:1:pos:R:3 pbc="T T T"
Tb -0.2428 0.0409 10.6920
Tb 1.4843 2.9998 9.4242
Tb 0.0719 -0.2631 7.4258
Tb -2.2708 5.4989 4.4577
Tb -3.3030 0.9038 9.3963
Tb -2.5856 5.8029 7.7239
Pr 1.1001 0.2045 3.8381
Tb 0.7894 4.6359 5.7534
Pr -0.3859 3.0556 2.5490
Pr -2.1277 2.4841 12.6007
Pr -2.3131 0.2639 3.2501
Tb -3.4409 -0.7467 6.5474
Tb 2.7775 1.7144 6.6792
Tb -3.9979 2.5400 5.7255
Tm 0.0000 0.0000 0.0000
Tb 0.9272 6.2865 8.6023
Pr -3.6137 5.3353 11.3116
Pr -1.2568 2.7699 7.5749
Tb -5.2911 3.8254 8.4705
Pr -0.2005 5.2758 11.8997
```

Properties
* N(E_F): 1.83 states/eV/atom
* calculated density: 7.4 Mg/m³
* space group: No. 148

Bottom line: 2, by a margin of 38.4 kJ/mol of atoms.

1 | The following is a DFT calculation (PBE) of an optimized crystal structure of Tb4Pr7Tm.

Geometry as extended XYZ:
```
12
Lattice="6.0531 0.0000 0.0000 3.0266 9.1813 2.0962 3.0266 1.7507 7.9650" Properties=species:S:1:pos:R:3 pbc="T T T"
Pr 6.0531 8.4955 8.0828
Pr 6.0531 2.4365 1.9784
Pr 3.0266 1.9172 3.9443
Pr 3.0266 5.6019 3.3646
Tb 6.0531 5.2447 8.4305
Tb 6.0531 7.1716 5.0147
Pr 9.0797 5.3301 6.6965
Tb 6.0531 3.7603 5.0464
Tb 6.0531 5.6873 1.6306
Pr 9.0797 9.0147 6.1168
Tm 0.0000 0.0000 0.0000
Pr 3.0266 0.0000 0.0000
```

Properties
* N(E_F): 1.60 states/eV/atom
* calculated density: 7.1 Mg/m³
* space group: No. 12

2 | The following is a DFT calculation (PBE) of an optimized crystal structure of Tb4Pr7Tm.

Geometry as extended XYZ:
```
12
Lattice="7.0402 1.8599 0.9083 5.2673 7.7722 2.5036 -1.0341 -0.4460 9.0062" Properties=species:S:1:pos:R:3 pbc="T T T"
Tb 4.0863 2.7331 7.1468
Pr 3.5201 0.9299 0.4542
Pr 6.3022 3.0146 4.2669
Pr 4.9713 6.1715 8.1512
Pr 7.9213 5.2867 1.9518
Tb 7.1872 6.4530 5.2714
Pr 3.6547 5.4993 4.8335
Tm 0.0000 0.0000 0.0000
Pr 7.6187 3.6868 7.5846
Pr 3.3522 3.8993 10.4663
Tb 8.4934 7.1041 8.5966
Tb 2.7801 2.0819 3.8215
```

Properties
* N(E_F): 1.44 states/eV/atom
* calculated density: 7.2 Mg/m³
* space group: No. 2

Bottom line: 2, by a margin of 19.6 kJ/mol of atoms.

1 | The following is a DFT calculation (PBE) of an optimized crystal structure of Tb2PrTm6.

Geometry as extended XYZ:
```
18
Lattice="-4.6055 -1.5311 1.2037 -1.0383 -4.3976 -9.5665 3.9879 -9.0610 3.7324" Properties=species:S:1:pos:R:3 pbc="T T T"
Tm -1.9805 -12.0089 -2.0846
Pr -2.8219 -2.9644 -4.1814
Tm -2.3125 -13.4932 -5.2394
Tm 0.6565 -1.4965 0.6090
Tm 1.6410 -5.9957 -1.3437
Tm -3.2970 -8.9940 -3.2867
Tm 1.5091 -10.5426 2.7539
Tm 0.1853 -7.5583 1.4849
Tm -3.1650 -4.4471 -7.3843
Pr 1.9939 -4.5305 1.8662
Tm -0.1701 -8.9855 -1.6937
Tb 2.9704 -8.9939 -0.0709
Tb -4.6264 -5.9958 -4.5596
Tb -0.4997 -10.4805 -4.8613
Tm 0.3246 -2.9808 -2.5459
Tm -1.8413 -7.4314 -6.1153
Tb -1.1563 -4.5092 0.2309
Tm -1.4858 -6.0042 -2.9367
```

Properties
* N(E_F): 1.31 states/eV/atom
* calculated density: 8.7 Mg/m³
* space group: No. 136

2 | The following is a DFT calculation (PBE) of an optimized crystal structure of Tb2PrTm6.

Geometry as extended XYZ:
```
9
Lattice="1.7841 -3.0902 0.0000 1.7841 3.0902 0.0000 0.0000 0.0000 25.9075" Properties=species:S:1:pos:R:3 pbc="T T T"
Tb 1.7841 1.0301 17.3930
Tm 1.7841 1.0301 22.9654
Tm 0.0000 0.0000 20.2231
Tm 0.0000 0.0000 14.6168
Tm 1.7841 1.0301 2.9420
Tb 1.7841 1.0301 8.5145
Tm 0.0000 0.0000 11.2907
Tm 0.0000 0.0000 5.6844
Pr 0.0000 0.0000 0.0000
```

Properties
* N(E_F): 1.72 states/eV/atom
* calculated density: 8.6 Mg/m³
* space group: No. 187

Bottom line: 1, by a margin of 3.2 kJ/mol of atoms.

1 | The following is a DFT calculation (PBE) of an optimized crystal structure of Tb2Pr3Tm6.

Geometry as extended XYZ:
```
11
Lattice="-3.2348 -3.4641 0.1961 2.1294 -2.1937 -3.6271 10.1272 -5.5083 12.3787" Properties=species:S:1:pos:R:3 pbc="T T T"
Pr 3.9350 -3.4264 4.3824
Tm 3.0953 -6.0055 2.3473
Tm 3.3730 -3.1068 0.7572
Tm 8.3309 -7.4240 6.2788
Tm 0.6909 -3.7421 2.6688
Tm 5.9265 -5.1606 6.6003
Pr 0.0000 0.0000 0.0000
Tm 5.6488 -8.0593 8.1904
Tb 0.3375 -3.6040 -0.7241
Tb 8.6843 -7.5621 9.6717
Pr 5.0868 -7.7397 4.5652
```

Properties
* N(E_F): 1.53 states/eV/atom
* calculated density: 7.8 Mg/m³
* space group: No. 139

2 | The following is a DFT calculation (PBE) of an optimized crystal structure of Tb2Pr3Tm6.

Geometry as extended XYZ:
```
11
Lattice="-5.0384 -3.5323 -0.0947 -0.2396 -5.1111 3.4356 -6.0520 4.7904 8.5616" Properties=species:S:1:pos:R:3 pbc="T T T"
Tm -8.2958 0.9198 6.3130
Tb -7.3062 -2.2496 5.3445
Tm -6.3083 -5.4203 4.3854
Pr -3.5072 -5.7791 2.2449
Tb -4.0237 -1.6034 6.5580
Pr -1.7708 -2.8643 1.0961
Tm -2.7945 0.3383 2.1539
Tm -6.7788 -1.3169 8.6341
Tm -5.0216 1.5673 7.5172
Tm -4.5511 -2.5361 3.2685
Pr 0.0000 0.0000 0.0000
```

Properties
* N(E_F): 1.57 states/eV/atom
* calculated density: 7.8 Mg/m³
* space group: No. 12

Bottom line: 2, by a margin of 6.2 kJ/mol of atoms.

1 | The following is a DFT calculation (PBE) of an optimized crystal structure of Tb6Pr12Tm.

Geometry as extended XYZ:
```
19
Lattice="-3.4683 -3.8246 7.0621 0.1377 -7.7979 -3.9628 7.9681 -1.6627 3.2054" Properties=species:S:1:pos:R:3 pbc="T T T"
Tb 1.8217 -6.3050 -1.2663
Tb -1.6239 -4.8822 4.2664
Pr 4.3642 -11.4378 3.2017
Pr 0.8149 -7.8923 4.7879
Pr 2.8520 -2.1680 0.5306
Pr 1.7613 -4.6375 4.6246
Tm 0.0000 0.0000 0.0000
Pr 1.7855 -11.1172 5.7740
Pr 5.1077 -9.6944 6.3286
Pr -0.4702 -3.5908 -0.0239
Tb 6.2614 -8.4030 2.0383
Pr 2.8763 -8.6476 1.6800
Pr 4.4320 -6.7305 4.5754
Tb 2.8158 -6.9802 7.5709
Tb -0.0935 -10.3528 2.6042
Pr 0.2055 -6.5546 1.7293
Pr 3.8227 -5.3928 1.5167
Pr 0.2733 -1.8474 3.1029
Tb 4.7310 -2.9324 3.7005
```

Properties
* N(E_F): 1.68 states/eV/atom
* calculated density: 7.0 Mg/m³
* space group: No. 148

2 | The following is a DFT calculation (PBE) of an optimized crystal structure of Tb6Pr12Tm.

Geometry as extended XYZ:
```
19
Lattice="1.8016 4.2679 -8.0910 0.5289 -9.1643 -1.6318 -8.9017 1.8404 2.0732" Properties=species:S:1:pos:R:3 pbc="T T T"
Pr 0.5253 1.1814 -6.8599
Pr -2.8822 0.6007 -6.1557
Pr -4.7428 3.4446 -5.8805
Tb -0.8651 1.4941 -3.3508
Pr -7.0965 -4.2373 -0.7897
Tb -3.7231 -0.5857 -0.0649
Pr -2.3337 -4.4629 -4.6041
Pr -6.1811 -1.4380 -2.5075
Tb -0.1613 -3.1172 -2.1133
Pr -1.8285 -6.5005 -1.7692
Pr -6.7597 1.5695 -0.7570
Tb -6.4099 0.0612 -5.5364
Pr -0.3902 -1.6180 -5.1421
Tm 0.0000 0.0000 0.0000
Pr -3.6890 -3.6566 -1.4939
Tb -2.8482 -2.4702 -7.5848
Pr 0.1885 -4.6255 -6.8927
Tb -5.7061 -4.5500 -4.2989
Pr -4.2375 1.4069 -3.0455
```

Properties
* N(E_F): 1.62 states/eV/atom
* calculated density: 6.9 Mg/m³
* space group: No. 148

Bottom line: 1, by a margin of 10.0 kJ/mol of atoms.

1 | The following is a DFT calculation (PBE) of an optimized crystal structure of Tb2Pr4Tm.

Geometry as extended XYZ:
```
14
Lattice="6.2577 0.0000 -0.2647 0.0000 6.7277 0.0000 -2.4002 0.0000 11.4589" Properties=species:S:1:pos:R:3 pbc="T T T"
Pr 0.5084 3.2852 8.1120
Tb 2.4350 1.6819 -0.0341
Pr 3.3491 3.4425 3.0822
Pr -1.8101 5.0458 9.9146
Tm 0.5174 5.0458 1.8251
Tb 1.4225 5.0458 11.2283
Pr 5.6676 1.6819 1.2796
Pr 3.9872 1.6819 6.0723
Pr 3.3491 6.6491 3.0822
Pr -0.1297 5.0458 5.1219
Tb 3.0767 5.0458 6.4331
Tm 3.3401 1.6819 9.3691
Pr 0.5084 0.0786 8.1120
Tb 0.7807 1.6819 4.7611
```

Properties
* N(E_F): 1.54 states/eV/atom
* calculated density: 7.3 Mg/m³
* space group: No. 11

2 | The following is a DFT calculation (PBE) of an optimized crystal structure of Tb2Pr4Tm.

Geometry as extended XYZ:
```
14
Lattice="12.1616 -3.1158 -1.5634 -9.5225 8.1814 -1.5634 0.0226 0.0434 6.8677" Properties=species:S:1:pos:R:3 pbc="T T T"
Tb 10.2309 -2.0286 -1.2758
Tm -1.2607 4.1952 1.7301
Pr -4.6530 5.2939 1.1046
Pr 1.4443 -0.1356 0.4188
Tm 4.1492 1.3491 -1.7037
Pr 1.9559 2.7557 2.5702
Pr -5.2997 5.9694 4.6212
Pr 7.0162 -0.7580 4.5385
Tb -2.2096 4.1978 5.0888
Tb 4.6951 0.5729 1.6549
Pr 1.1262 3.1604 -0.8636
Pr -0.9275 1.1276 3.8526
Pr 7.9177 -0.9444 1.1873
Tb -7.5139 7.2438 2.1580
```

Properties
* N(E_F): 1.54 states/eV/atom
* calculated density: 7.2 Mg/m³
* space group: No. 43

Bottom line: 2, by a margin of 6.0 kJ/mol of atoms.

1 | The following is a DFT calculation (PBE) of an optimized crystal structure of Tb12PrTm7.

Geometry as extended XYZ:
```
20
Lattice="0.6322 6.7824 5.4073 4.8779 -4.3657 5.7260 7.4739 2.7464 -3.4983" Properties=species:S:1:pos:R:3 pbc="T T T"
Tb 4.9636 0.3731 1.0305
Tm 3.3314 6.9438 3.4610
Tb 3.3557 3.4148 1.7079
Tb 6.5025 5.9518 3.2663
Tb 3.9190 4.2531 5.3168
Tb 8.0203 4.7901 6.6045
Tb 9.6282 1.7484 5.9271
Tb 3.0868 0.7479 3.9687
Tb 9.0649 0.9100 2.3182
Tm 8.3526 0.8125 -0.9316
Pr 0.0000 0.0000 0.0000
Tm 4.6313 4.3507 8.5666
Tb 5.9563 1.6973 7.0722
Tb 9.8971 4.4153 3.6662
Tm 4.5294 -1.3089 7.0046
Tb 7.0276 3.4659 0.5627
Tm 9.6525 -1.7807 4.1740
Tm 8.4545 6.4721 0.6303
Tb 6.4814 -0.7886 4.3687
Tm 6.4919 2.5816 3.8175
```

Properties
* N(E_F): 1.77 states/eV/atom
* calculated density: 8.2 Mg/m³
* space group: No. 148

2 | The following is a DFT calculation (PBE) of an optimized crystal structure of Tb12PrTm7.

Geometry as extended XYZ:
```
20
Lattice="9.2403 0.0000 -3.2670 -4.6202 8.0024 -3.2670 0.0000 0.0000 9.8009" Properties=species:S:1:pos:R:3 pbc="T T T"
Tb 1.1983 2.0687 3.3810
Tm 0.0000 0.0000 4.9004
Pr 0.0000 0.0000 0.0000
Tm 2.3101 4.0012 1.6335
Tm -2.3101 4.0012 3.2670
Tm 2.3101 4.0012 -3.2670
Tb 4.6222 3.8615 3.2641
Tb -1.0331 5.9336 -3.2641
Tb 3.4218 5.9336 -0.1141
Tb 6.8496 0.0034 0.1141
Tm 4.6202 0.0000 -1.6335
Tb 3.5851 2.0722 -0.0028
Tm 4.6202 0.0000 3.2670
Tb 5.8126 5.9302 -3.1529
Tm -2.3101 4.0012 -1.6335
Tb -0.0020 4.1409 0.0028
Tb 5.6532 2.0687 6.5311
Tb -1.1924 2.0722 6.4198
Tb -2.2294 7.9989 3.1529
Tb 1.0351 5.9302 3.2698
```

Properties
* N(E_F): 1.25 states/eV/atom
* calculated density: 7.4 Mg/m³
* space group: No. 229

Bottom line: 1, by a margin of 45.1 kJ/mol of atoms.